No. 1
Computed, not measured: NbInPd3 after structural relaxation at the PBE level of DFT.

Lattice parameters (Å, degrees): 4.8227 4.8227 4.8227 90.00 90.00 90.00
Each line ends with the local moment (μB).
Sites, in units of the cell vectors:
Nb 0.5000 0.5000 0.5000  -0.15
Pd 0.0000 0.5000 0.0000  0.00
Pd 0.0000 0.0000 0.5000  0.03
Pd 0.5000 0.0000 0.0000  -0.05
In 0.0000 0.0000 0.0000  0.01

Output
- Volume: 112 Å³/f.u.
- SG: Pm-3m (221)
- Excess energy over the best structure of this formula in the dataset: 317 meV per atom
- Crystal system: cubic
- Total magnetic moment: 0.04 μB per atom

No. 2
Computed, not measured: ScAg4F8 after structural relaxation at the PBE level of DFT.

Lattice parameters (Å, degrees): 6.9068 6.9068 6.9068 60.40 60.40 60.40
Each line ends with the local moment (μB).
Sites, in units of the cell vectors:
Ag 0.5000 0.5000 0.0000  0.23
Ag 0.5000 0.0000 0.5000  0.23
Ag 0.0000 0.0000 0.0000  0.00
Ag 0.0000 0.5000 0.5000  0.23
F 0.7071 0.2893 0.2893  0.02
F 0.2774 0.2774 0.2774  0.12
F 0.7226 0.7226 0.7226  0.12
F 0.7107 0.2929 0.7107  0.02
F 0.7107 0.7107 0.2929  0.02
F 0.2893 0.7071 0.2893  0.02
F 0.2893 0.2893 0.7071  0.02
F 0.2929 0.7107 0.7107  0.02
Sc 0.5000 0.5000 0.5000  0.00

Output
- Volume: 235 Å³/f.u.
- SG: R-3m (166)
- Formation energy from raw total energies: -1.84 eV per atom
- Crystal system: trigonal
- Total magnetic moment: 0.08 μB per atom

No. 3
Computed, not measured: AcHoIrBr after structural relaxation at the PBE level of DFT.

Lattice parameters (Å, degrees): 4.1910 4.1907 8.3353 89.99 104.57 120.00
Sites, in units of the cell vectors:
Ac 0.5112 0.1536 0.6801
Ir 0.3170 0.5564 0.8888
Br 0.9520 0.3742 0.3410
Ho 0.0976 0.9466 0.0597

Output
- Volume: 121 Å³/f.u.
- SG: R3m (160)
- Formation energy from raw total energies: -1.12 eV per atom
- Crystal system: trigonal
- Total magnetic moment: 0.00 μB per atom

No. 4
Computed, not measured: BaZr3As after structural relaxation at the PBE level of DFT.

Lattice parameters (Å, degrees): 5.2771 5.2771 5.2771 90.00 90.00 90.00
Each line ends with the local moment (μB).
Sites, in units of the cell vectors:
Zr 0.0000 0.0000 0.5000  0.18
Zr 0.5000 0.0000 0.0000  0.39
Zr 0.0000 0.5000 0.0000  0.29
As 0.5000 0.5000 0.5000  -0.01
Ba 0.0000 0.0000 0.0000  0.00

Output
- Volume: 147 Å³/f.u.
- SG: Pm-3m (221)
- Excess energy over the best structure of this formula in the dataset: 1688 meV per atom
- Crystal system: cubic
- Total magnetic moment: 0.30 μB per atom